The following is a PBE calculation of Cs2Ag2PbI6 after structural relaxation, from the Alexandria database.

## Properties
Crystal system: monoclinic
Formation energy from raw total energies, eV/atom: -0.8101

Cell lengths 8.838, 8.913, 8.909 Å; angles 116.05, 90.00, 119.72 degrees
Fractional positions:
Cs 0.738 0.476 0.214
Cs 0.262 0.524 0.786
Ag 0.946 0.892 0.800
Ag 0.054 0.108 0.200
Pb 0.500 0.000 0.500
I 0.739 0.479 0.650
I 0.203 0.894 0.192
I 0.309 0.106 0.808
I 0.797 0.106 0.808
I 0.691 0.894 0.192
I 0.261 0.521 0.350

=====

The following is a PBE calculation of Cs2Ag2PdI6 after structural relaxation, from the Alexandria database.

## Properties
Crystal system: trigonal
Formation energy from raw total energies, eV/atom: -0.6374

Cell lengths 8.642, 8.642, 8.629 Å; angles 59.95, 59.95, 60.00 degrees
Fractional positions:
Cs 0.758 0.758 0.725
Cs 0.242 0.242 0.275
Ag 0.431 0.431 0.708
Ag 0.569 0.569 0.292
Pd 0.000 0.000 0.000
I 0.768 0.768 0.248
I 0.217 0.768 0.248
I 0.768 0.217 0.248
I 0.232 0.783 0.752
I 0.783 0.232 0.752
I 0.232 0.232 0.752

=====

The following is a PBE calculation of Cs3Ag2PdI6 after structural relaxation, from the Alexandria database.

## Properties
Crystal system: trigonal
Formation energy from raw total energies, eV/atom: -0.7460

Cell lengths 8.734, 8.734, 9.753 Å; angles 90.00, 90.00, 120.00 degrees
Site moments in Bohr magnetons follow the coordinates.
Fractional positions:
Cs 0.333 0.667 0.646  0.00
Cs 0.667 0.333 0.354  0.00
Cs 0.000 0.000 0.000  0.00
Ag 0.667 0.333 0.729  0.02
Ag 0.333 0.667 0.271  0.02
Pd 0.000 0.000 0.500  0.51
I 0.693 0.847 0.313  0.04
I 0.153 0.307 0.313  0.04
I 0.153 0.847 0.313  0.04
I 0.847 0.693 0.687  0.04
I 0.307 0.153 0.687  0.04
I 0.847 0.153 0.687  0.04

=====

The following is a PBE calculation of Cs3PmAg2I9 after structural relaxation, from the Alexandria database.

## Properties
Crystal system: trigonal
Formation energy from raw total energies, eV/atom: -1.0410

Cell lengths 8.535, 8.535, 10.615 Å; angles 90.00, 90.00, 120.00 degrees
Fractional positions:
Cs 0.333 0.667 0.679
Cs 0.000 0.000 0.000
Cs 0.667 0.333 0.321
Pm 0.000 0.000 0.500
Ag 0.333 0.667 0.149
Ag 0.667 0.333 0.851
I 0.830 0.170 0.669
I 0.830 0.660 0.669
I 0.340 0.170 0.669
I 0.660 0.830 0.331
I 0.170 0.340 0.331
I 0.170 0.830 0.331
I 0.500 0.000 0.000
I 0.000 0.500 0.000
I 0.500 0.500 0.000

=====

The following is a PBE calculation of Cs2PmAgI6 after structural relaxation, from the Alexandria database.

## Properties
Crystal system: trigonal
Formation energy from raw total energies, eV/atom: -1.2554

Cell lengths 7.218, 8.607, 8.607 Å; angles 120.00, 90.00, 90.00 degrees
Fractional positions:
Cs 0.256 0.333 0.667
Cs 0.744 0.667 0.333
Pm 0.500 0.000 0.000
Ag 0.000 0.000 0.000
I 0.751 0.169 0.338
I 0.751 0.169 0.831
I 0.751 0.662 0.831
I 0.249 0.831 0.169
I 0.249 0.338 0.169
I 0.249 0.831 0.662

=====

The following is a PBE calculation of CsPmAg2I6 after structural relaxation, from the Alexandria database.

## Properties
Crystal system: monoclinic
Formation energy from raw total energies, eV/atom: -0.8991

Cell lengths 9.401, 11.076, 11.076 Å; angles 81.80, 72.01, 72.01 degrees
Fractional positions:
Cs 0.250 0.828 0.172
Cs 0.750 0.172 0.828
Pm 0.250 0.179 0.821
Pm 0.750 0.821 0.179
Ag 0.369 0.616 0.516
Ag 0.131 0.484 0.384
Ag 0.631 0.384 0.484
Ag 0.869 0.516 0.616
I 0.168 0.943 0.819
I 0.332 0.181 0.057
I 0.832 0.057 0.181
I 0.668 0.819 0.943
I 0.472 0.847 0.405
I 0.028 0.595 0.153
I 0.528 0.153 0.595
I 0.972 0.405 0.847
I 0.038 0.704 0.543
I 0.462 0.457 0.296
I 0.962 0.296 0.457
I 0.538 0.543 0.704